Entry 1:
## CaSeF3 (PBE)

Data for a relaxed CaSeF3 crystal.

Structure (CIF):
```
data_CaSeF3
_cell_length_a 4.5672
_cell_length_b 4.5672
_cell_length_c 4.5672
_cell_angle_alpha 90.00
_cell_angle_beta 90.00
_cell_angle_gamma 90.00
_space_group_name_H-M_alt 'P 1'
_space_group_IT_number 1
loop_
_space_group_symop_operation_xyz
'x,y,z'
loop_
_atom_site_label
_atom_site_type_symbol
_atom_site_fract_x
_atom_site_fract_y
_atom_site_fract_z
Ca1 Ca 0.0000 0.0000 0.0000
Se1 Se 0.5000 0.5000 0.5000
F1 F 0.0000 0.5000 0.5000
F2 F 0.5000 0.0000 0.5000
F3 F 0.5000 0.5000 0.0000
```

* spin magnetization: 0.0 μB per cell
* ΔE_f (raw): -1486.4 meV per atom
* density: 3.07 Mg/m³
* DOS(E_F): 0.438 states/eV per atom

Entry 2:
## Ca3SeF3 (PBE)

Data for a relaxed Ca3SeF3 crystal.

Structure (CIF):
```
data_Ca3SeF3
_cell_length_a 7.7751
_cell_length_b 7.7751
_cell_length_c 7.7751
_cell_angle_alpha 52.73
_cell_angle_beta 52.73
_cell_angle_gamma 52.73
_space_group_name_H-M_alt 'P 1'
_space_group_IT_number 1
loop_
_space_group_symop_operation_xyz
'x,y,z'
loop_
_atom_site_label
_atom_site_type_symbol
_atom_site_fract_x
_atom_site_fract_y
_atom_site_fract_z
Ca1 Ca 0.0883 0.4122 0.7365
Ca2 Ca 0.2635 0.9117 0.5878
Ca3 Ca 0.4122 0.7365 0.0883
Ca4 Ca 0.5878 0.2635 0.9117
Ca5 Ca 0.7365 0.0883 0.4122
Ca6 Ca 0.9117 0.5878 0.2635
Se1 Se 0.1667 0.1667 0.1667
Se2 Se 0.8333 0.8333 0.8333
F1 F 0.0427 0.7032 0.3721
F2 F 0.2968 0.6279 0.9573
F3 F 0.3721 0.0427 0.7032
F4 F 0.6279 0.9573 0.2968
F5 F 0.7032 0.3721 0.0427
F6 F 0.9573 0.2968 0.6279
```

* spin magnetization: 0.0 μB per cell
* ΔE_f (raw): -3033.3 meV per atom
* density: 3.09 Mg/m³

Entry 3:
## CaSeF3 (PBE)

Data for a relaxed CaSeF3 crystal.

Structure (CIF):
```
data_CaSeF3
_cell_length_a 4.4858
_cell_length_b 4.4858
_cell_length_c 4.4858
_cell_angle_alpha 90.00
_cell_angle_beta 90.00
_cell_angle_gamma 90.00
_space_group_name_H-M_alt 'P 1'
_space_group_IT_number 1
loop_
_space_group_symop_operation_xyz
'x,y,z'
loop_
_atom_site_label
_atom_site_type_symbol
_atom_site_fract_x
_atom_site_fract_y
_atom_site_fract_z
Ca1 Ca 0.0000 0.0000 0.0000
Se1 Se 0.5000 0.5000 0.5000
F1 F 0.0000 0.0000 0.5000
F2 F 0.0000 0.5000 0.0000
F3 F 0.5000 0.0000 0.0000
```

* spin magnetization: 3.0 μB per cell
* ΔE_f (raw): -2174.2 meV per atom
* density: 3.24 Mg/m³
* DOS(E_F): 0.000 states/eV per atom

Entry 4:
## Ca2SeF (PBE)

Data for a relaxed Ca2SeF crystal.

Structure (CIF):
```
data_Ca2SeF
_cell_length_a 6.8364
_cell_length_b 6.8364
_cell_length_c 6.8364
_cell_angle_alpha 34.14
_cell_angle_beta 34.14
_cell_angle_gamma 34.14
_space_group_name_H-M_alt 'P 1'
_space_group_IT_number 1
loop_
_space_group_symop_operation_xyz
'x,y,z'
loop_
_atom_site_label
_atom_site_type_symbol
_atom_site_fract_x
_atom_site_fract_y
_atom_site_fract_z
Ca1 Ca 0.2430 0.2430 0.2430
Ca2 Ca 0.7570 0.7570 0.7570
Se1 Se 0.0000 0.0000 0.0000
F1 F 0.5000 0.5000 0.5000
```

* spin magnetization: 0.4 μB per cell
* ΔE_f (raw): -2151.5 meV per atom
* density: 3.30 Mg/m³
* DOS(E_F): 0.486 states/eV per atom

Entry 5:
## CaSn2SeF (PBE)

Data for a relaxed CaSn2SeF crystal.

Structure (CIF):
```
data_CaSn2SeF
_cell_length_a 5.8077
_cell_length_b 5.8077
_cell_length_c 4.1220
_cell_angle_alpha 90.00
_cell_angle_beta 90.00
_cell_angle_gamma 90.00
_space_group_name_H-M_alt 'P 1'
_space_group_IT_number 1
loop_
_space_group_symop_operation_xyz
'x,y,z'
loop_
_atom_site_label
_atom_site_type_symbol
_atom_site_fract_x
_atom_site_fract_y
_atom_site_fract_z
Ca1 Ca 0.0000 0.0000 0.0000
Sn1 Sn 0.0000 0.5000 0.5000
Sn2 Sn 0.5000 0.0000 0.5000
Se1 Se 0.5000 0.5000 0.5000
F1 F 0.5000 0.5000 0.0000
```

* spin magnetization: 0.0 μB per cell
* ΔE_f (raw): -430.0 meV per atom
* density: 4.48 Mg/m³
* DOS(E_F): 0.661 states/eV per atom

Entry 6:
## Ca2TeSeF (PBE)

Data for a relaxed Ca2TeSeF crystal.

Structure (CIF):
```
data_Ca2TeSeF
_cell_length_a 5.5525
_cell_length_b 5.5525
_cell_length_c 4.5046
_cell_angle_alpha 90.00
_cell_angle_beta 90.00
_cell_angle_gamma 90.00
_space_group_name_H-M_alt 'P 1'
_space_group_IT_number 1
loop_
_space_group_symop_operation_xyz
'x,y,z'
loop_
_atom_site_label
_atom_site_type_symbol
_atom_site_fract_x
_atom_site_fract_y
_atom_site_fract_z
Ca1 Ca 0.0000 0.5000 0.0000
Ca2 Ca 0.5000 0.0000 0.0000
Te1 Te 0.0000 0.0000 0.5000
Se1 Se 0.5000 0.5000 0.0000
F1 F 0.5000 0.5000 0.5000
```

* spin magnetization: 0.0 μB per cell
* ΔE_f (raw): -1505.1 meV per atom
* density: 3.66 Mg/m³
* DOS(E_F): 0.111 states/eV per atom

Entry 7:
## CaUSe2F (PBE)

Data for a relaxed CaUSe2F crystal.

Structure (CIF):
```
data_CaUSe2F
_cell_length_a 4.0404
_cell_length_b 4.0404
_cell_length_c 13.9657
_cell_angle_alpha 90.00
_cell_angle_beta 90.00
_cell_angle_gamma 90.00
_space_group_name_H-M_alt 'P 1'
_space_group_IT_number 1
loop_
_space_group_symop_operation_xyz
'x,y,z'
loop_
_atom_site_label
_atom_site_type_symbol
_atom_site_fract_x
_atom_site_fract_y
_atom_site_fract_z
Ca1 Ca 0.2500 0.2500 0.0922
Ca2 Ca 0.7500 0.7500 0.9078
U1 U 0.2500 0.2500 0.6134
U2 U 0.7500 0.7500 0.3866
Se1 Se 0.2500 0.2500 0.4004
Se2 Se 0.2500 0.2500 0.8068
Se3 Se 0.7500 0.7500 0.1932
Se4 Se 0.7500 0.7500 0.5996
F1 F 0.2500 0.7500 0.0000
F2 F 0.7500 0.2500 0.0000
```

* spin magnetization: 5.6 μB per cell
* ΔE_f (raw): -2089.0 meV per atom
* density: 6.63 Mg/m³
* DOS(E_F): 0.967 states/eV per atom

Entry 8:
## CaYSe2F (PBE)

Data for a relaxed CaYSe2F crystal.

Structure (CIF):
```
data_CaYSe2F
_cell_length_a 4.0190
_cell_length_b 4.0190
_cell_length_c 14.3827
_cell_angle_alpha 90.00
_cell_angle_beta 90.00
_cell_angle_gamma 90.00
_space_group_name_H-M_alt 'P 1'
_space_group_IT_number 1
loop_
_space_group_symop_operation_xyz
'x,y,z'
loop_
_atom_site_label
_atom_site_type_symbol
_atom_site_fract_x
_atom_site_fract_y
_atom_site_fract_z
Ca1 Ca 0.2500 0.2500 0.0900
Ca2 Ca 0.7500 0.7500 0.9100
Y1 Y 0.2500 0.2500 0.6279
Y2 Y 0.7500 0.7500 0.3721
Se1 Se 0.2500 0.2500 0.4102
Se2 Se 0.2500 0.2500 0.8106
Se3 Se 0.7500 0.7500 0.1894
Se4 Se 0.7500 0.7500 0.5898
F1 F 0.2500 0.7500 0.0000
F2 F 0.7500 0.2500 0.0000
```

* spin magnetization: 0.0 μB per cell
* ΔE_f (raw): -2449.8 meV per atom
* density: 4.37 Mg/m³
* DOS(E_F): 0.273 states/eV per atom

Entry 9:
## CaSiF3 (PBE)

Data for a relaxed CaSiF3 crystal.

Structure (CIF):
```
data_CaSiF3
_cell_length_a 4.3774
_cell_length_b 4.3774
_cell_length_c 4.3774
_cell_angle_alpha 90.00
_cell_angle_beta 90.00
_cell_angle_gamma 90.00
_space_group_name_H-M_alt 'P 1'
_space_group_IT_number 1
loop_
_space_group_symop_operation_xyz
'x,y,z'
loop_
_atom_site_label
_atom_site_type_symbol
_atom_site_fract_x
_atom_site_fract_y
_atom_site_fract_z
Ca1 Ca 0.0000 0.0000 0.0000
Si1 Si 0.5000 0.5000 0.5000
F1 F 0.0000 0.5000 0.5000
F2 F 0.5000 0.0000 0.5000
F3 F 0.5000 0.5000 0.0000
```

* spin magnetization: 0.0 μB per cell
* ΔE_f (raw): -1841.4 meV per atom
* density: 2.48 Mg/m³
* DOS(E_F): 0.792 states/eV per atom

Entry 10:
## Ca4Si2F (PBE)

Data for a relaxed Ca4Si2F crystal.

Structure (CIF):
```
data_Ca4Si2F
_cell_length_a 7.0560
_cell_length_b 6.8106
_cell_length_c 7.8880
_cell_angle_alpha 90.00
_cell_angle_beta 106.13
_cell_angle_gamma 90.00
_space_group_name_H-M_alt 'P 1'
_space_group_IT_number 1
loop_
_space_group_symop_operation_xyz
'x,y,z'
loop_
_atom_site_label
_atom_site_type_symbol
_atom_site_fract_x
_atom_site_fract_y
_atom_site_fract_z
Ca1 Ca 0.0080 0.0069 0.2485
Ca2 Ca 0.0080 0.4931 0.2485
Ca3 Ca 0.4233 0.2500 0.5940
Ca4 Ca 0.4441 0.2500 0.1232
Ca5 Ca 0.5559 0.7500 0.8768
Ca6 Ca 0.5767 0.7500 0.4060
Ca7 Ca 0.9920 0.5069 0.7515
Ca8 Ca 0.9920 0.9931 0.7515
Si1 Si 0.2277 0.7500 0.5513
Si2 Si 0.2490 0.7500 0.0663
Si3 Si 0.7510 0.2500 0.9337
Si4 Si 0.7723 0.2500 0.4487
F1 F 0.2378 0.2500 0.3040
F2 F 0.7622 0.7500 0.6960
```

* spin magnetization: 0.0 μB per cell
* ΔE_f (raw): -1076.9 meV per atom
* density: 2.15 Mg/m³
* DOS(E_F): 0.463 states/eV per atom

Entry 11:
## Ca6Si2F (PBE)

Data for a relaxed Ca6Si2F crystal.

Structure (CIF):
```
data_Ca6Si2F
_cell_length_a 6.5738
_cell_length_b 7.9816
_cell_length_c 11.4691
_cell_angle_alpha 90.00
_cell_angle_beta 124.50
_cell_angle_gamma 90.00
_space_group_name_H-M_alt 'P 1'
_space_group_IT_number 1
loop_
_space_group_symop_operation_xyz
'x,y,z'
loop_
_atom_site_label
_atom_site_type_symbol
_atom_site_fract_x
_atom_site_fract_y
_atom_site_fract_z
Ca1 Ca 0.1115 0.1743 0.4398
Ca2 Ca 0.1115 0.3257 0.9398
Ca3 Ca 0.2684 0.6665 0.4398
Ca4 Ca 0.2684 0.8335 0.9398
Ca5 Ca 0.3691 0.0324 0.2535
Ca6 Ca 0.3691 0.4676 0.7535
Ca7 Ca 0.6309 0.5324 0.2465
Ca8 Ca 0.6309 0.9676 0.7465
Ca9 Ca 0.7316 0.1665 0.0602
Ca10 Ca 0.7316 0.3335 0.5602
Ca11 Ca 0.8885 0.6743 0.0602
Ca12 Ca 0.8885 0.8257 0.5602
Si1 Si 0.2023 0.1182 0.7463
Si2 Si 0.2023 0.3818 0.2463
Si3 Si 0.7977 0.6182 0.7537
Si4 Si 0.7977 0.8818 0.2537
F1 F 0.5000 0.0000 0.5000
F2 F 0.5000 0.5000 0.0000
```

* spin magnetization: 1.6 μB per cell
* ΔE_f (raw): -866.2 meV per atom
* density: 2.11 Mg/m³
* DOS(E_F): 0.556 states/eV per atom

Entry 12:
## Ca10Si6F (PBE)

Data for a relaxed Ca10Si6F crystal.

Structure (CIF):
```
data_Ca10Si6F
_cell_length_a 9.1121
_cell_length_b 9.1121
_cell_length_c 9.1121
_cell_angle_alpha 130.32
_cell_angle_beta 130.32
_cell_angle_gamma 72.89
_space_group_name_H-M_alt 'P 1'
_space_group_IT_number 1
loop_
_space_group_symop_operation_xyz
'x,y,z'
loop_
_atom_site_label
_atom_site_type_symbol
_atom_site_fract_x
_atom_site_fract_y
_atom_site_fract_z
Ca1 Ca 0.0702 0.7114 0.0000
Ca2 Ca 0.2296 0.2296 0.6628
Ca3 Ca 0.2500 0.7500 0.5000
Ca4 Ca 0.2886 0.2886 0.3587
Ca5 Ca 0.4332 0.7704 0.0000
Ca6 Ca 0.5668 0.5668 0.3372
Ca7 Ca 0.7114 0.0702 0.0000
Ca8 Ca 0.7500 0.2500 0.5000
Ca9 Ca 0.7704 0.4332 0.0000
Ca10 Ca 0.9298 0.9298 0.6413
Si1 Si 0.0000 0.5000 0.5000
Si2 Si 0.1349 0.3594 0.0000
Si3 Si 0.3594 0.1349 0.0000
Si4 Si 0.5000 0.0000 0.5000
Si5 Si 0.6406 0.6406 0.7756
Si6 Si 0.8651 0.8651 0.2244
F1 F 0.5000 0.5000 0.0000
```

* spin magnetization: 0.0 μB per cell
* ΔE_f (raw): -788.1 meV per atom
* density: 2.27 Mg/m³
* DOS(E_F): 0.847 states/eV per atom